Material: Ni14OsRh
Method: DFT, PBE-GGA
State: relaxed

**E_form**: 90 kJ/mol of formula units
**V**: 11.42 Å³/atom
**Space group**: Amm2
**Spin magnetization**: 8.6 μB/cell
**DOS(E_F)**: 27.92 states/eV/cell
**Final energy**: -6.1619 eV/atom

Cell lengths 8.224, 5.054, 5.054 Å; angles 60.42, 90.00, 90.00 degrees
Element x y z (fractional)
Ni (0.000, 0.000, 0.000)
Ni (0.000, 0.000, 0.499)
Ni (0.000, 0.499, 0.000)
Ni (0.000, 0.499, 0.499)
Ni (0.244, 0.667, 0.667)
Ni (0.246, 0.171, 0.666)
Ni (0.246, 0.666, 0.171)
Ni (0.249, 0.167, 0.167)
Ni (0.500, 0.335, 0.835)
Ni (0.500, 0.835, 0.335)
Ni (0.751, 0.167, 0.167)
Ni (0.754, 0.171, 0.666)
Ni (0.754, 0.666, 0.171)
Ni (0.756, 0.667, 0.667)
Os (0.500, 0.336, 0.336)
Rh (0.500, 0.836, 0.836)